Record 1
Entry from the Alexandria database: a relaxed Li4VGa3O8 crystal (GGA-PBEsol).

The structure in POSCAR format:
```
Li4VGa3O8
1.0
-2.9069 -3.0611 2.6516
-0.8066 -3.0799 -4.4325
5.1069 -3.5184 1.5173
O Ga Li V
8 3 4 1
Direct
0.6096 0.0932 0.6330 O
0.1230 0.9303 0.8891 O
0.1088 0.9084 0.3645 O
0.6247 0.0730 0.1166 O
0.1265 0.4304 0.6126 O
0.6079 0.5836 0.8628 O
0.1084 0.4088 0.1382 O
0.6263 0.5739 0.3853 O
0.9992 0.0844 0.1297 Ga
0.9993 0.5842 0.3731 Ga
0.4996 0.4168 0.6227 Ga
0.0063 0.5800 0.8767 Li
0.5032 0.9180 0.3749 Li
0.0066 0.0839 0.6241 Li
0.5031 0.4167 0.1254 Li
0.5051 0.9145 0.8712 V
```

Properties
- size of the total moment (Bohr magnetons per cell) = 1.98
- formation energy without anion corrections (eV/atom) = -2.030

=====

Record 2
Entry from the Alexandria database: a relaxed IrPbW2 crystal (GGA-PBEsol).

The structure in POSCAR format:
```
IrPbW2
1.0
-1.1450 0.5229 -2.5952
4.3277 -1.5255 -2.2167
-3.4993 -3.6138 0.8158
W Pb Ir
2 1 1
Direct
0.0000 0.0000 0.5000 W
0.0000 0.5000 0.0000 W
0.5000 0.5000 0.5000 Pb
0.5000 0.0000 0.0000 Ir
```

Properties
- size of the total moment (Bohr magnetons per cell) = 0.00
- DFT formation energy (eV per atom) = 0.77

=====

Record 3
Entry from the Alexandria database: a relaxed CsNi2BiO crystal (GGA-PBEsol).

The structure in POSCAR format:
```
CsNi2BiO
1.0
4.2107 0.0000 0.0000
0.0000 4.9173 0.0000
0.0000 0.0000 4.9173
Ni Cs O Bi
2 1 1 1
Direct
0.0000 0.0000 0.5000 Ni
0.0000 0.5000 0.0000 Ni
0.0000 0.0000 0.0000 Cs
0.5000 0.0000 0.0000 O
0.5000 0.5000 0.5000 Bi
```

Properties
- size of the total moment (Bohr magnetons per cell) = 0.00
- formation energy without anion corrections (eV/atom) = 1.295

=====

Record 4
Entry from the Alexandria database: a relaxed BaSr2Mg crystal (GGA-PBEsol).

The structure in POSCAR format:
```
BaSr2Mg
1.0
4.2093 0.0000 0.0000
0.0000 4.2093 0.0000
0.0000 0.0000 10.3562
Sr Mg Ba
2 1 1
Direct
0.0000 0.0000 0.9508 Sr
0.5000 0.5000 0.2392 Sr
0.5000 0.5000 0.7608 Mg
0.0000 0.0000 0.5491 Ba
```

Properties
- size of the total moment (Bohr magnetons per cell) = 0.00
- DFT formation energy (eV per atom) = -0.02

=====

Record 5
Entry from the Alexandria database: a relaxed ZnSe2O5 crystal (GGA-PBEsol).

The structure in POSCAR format:
```
ZnSe2O5
1.0
-1.0986 2.4709 5.3652
3.1934 -5.1950 3.0464
9.0278 5.2230 -0.5568
Se O Zn
8 20 4
Direct
0.0288 0.3664 0.8453 Se
0.4712 0.6336 0.8453 Se
0.5288 0.1336 0.6547 Se
0.5288 0.3664 0.1547 Se
0.9712 0.6336 0.1547 Se
0.9712 0.8664 0.6547 Se
0.0288 0.1336 0.3453 Se
0.4712 0.8664 0.3453 Se
0.5447 0.1556 0.0653 O
0.4553 0.8444 0.9347 O
0.0447 0.3444 0.4347 O
0.0447 0.1556 0.9347 O
0.7500 0.0000 0.5656 O
0.4553 0.6556 0.4347 O
0.8345 0.8005 0.7898 O
0.9553 0.8444 0.0653 O
0.6655 0.1995 0.7898 O
0.3345 0.6995 0.7102 O
0.3345 0.8005 0.2102 O
0.1655 0.3005 0.7102 O
0.6655 0.3005 0.2898 O
0.9553 0.6556 0.5653 O
0.7500 0.5000 0.0656 O
0.1655 0.1995 0.2102 O
0.5447 0.3444 0.5653 O
0.2500 0.5000 0.9344 O
0.8345 0.6995 0.2898 O
0.2500 0.0000 0.4344 O
0.7500 0.5000 0.4390 Zn
0.2500 0.5000 0.5610 Zn
0.7500 0.0000 0.9390 Zn
0.2500 0.0000 0.0610 Zn
```

Properties
- size of the total moment (Bohr magnetons per cell) = 0.00
- formation energy without anion corrections (eV/atom) = -0.948

=====

Record 6
Entry from the Alexandria database: a relaxed FeNi2Ir crystal (GGA-PBEsol).

The structure in POSCAR format:
```
FeNi2Ir
1.0
3.6076 0.0000 0.0000
0.0000 3.6076 0.0000
-1.8038 -1.8038 3.5260
Ni Fe Ir
2 1 1
Direct
0.7500 0.2500 0.5000 Ni
0.0000 0.0000 0.0000 Ni
0.5000 0.5000 0.0000 Fe
0.2500 0.7500 0.5000 Ir
```

Properties
- size of the total moment (Bohr magnetons per cell) = 2.52
- DFT formation energy (eV per atom) = -0.03

=====

Record 7
Entry from the Alexandria database: a relaxed CoNi2Mo crystal (GGA-PBEsol).

The structure in POSCAR format:
```
CoNi2Mo
1.0
-1.3792 -0.6627 2.0622
-1.6589 -1.9551 -0.1390
4.9597 -6.1045 2.9541
Co Ni Mo
1 2 1
Direct
0.5000 0.5000 0.5000 Co
0.7544 0.7544 0.7367 Ni
0.2456 0.2456 0.2633 Ni
0.0000 0.0000 0.0000 Mo
```

Properties
- size of the total moment (Bohr magnetons per cell) = 2.31
- DFT formation energy (eV per atom) = 0.16
- polymorph energy (0 for the lowest one) (meV per atom) = 244.6

=====

Record 8
Entry from the Alexandria database: a relaxed KCrSi3 crystal (GGA-PBEsol).

The structure in POSCAR format:
```
KCrSi3
1.0
4.4980 0.0000 0.0000
0.0000 4.4980 0.0000
0.0000 0.0000 4.4980
Si K Cr
3 1 1
Direct
0.0000 0.5000 0.0000 Si
0.5000 0.0000 0.0000 Si
0.0000 0.0000 0.5000 Si
0.5000 0.5000 0.5000 K
0.0000 0.0000 0.0000 Cr
```

Properties
- size of the total moment (Bohr magnetons per cell) = 0.00
- formation energy without anion corrections (eV/atom) = 0.119

=====

- Look up the size of the total moment of the seventh one.
  2.31 Bohr magnetons per cell